Ac2CrWO6: optimized geometry, PBE+U.

Geometry as POSCAR:
```
Ac2CrWO6
1.0
5.853 0.000 -0.390
0.000 5.653 0.000
-2.697 -2.827 4.545
Ac Cr W O
2 1 1 6
direct
0.236 0.251 0.502
0.764 0.749 0.498
0.500 0.000 0.000
0.000 0.500 0.000
0.324 0.728 0.456
0.194 0.194 0.883
0.806 0.311 0.117
0.194 0.689 0.883
0.806 0.806 0.117
0.676 0.272 0.544
```

Properties
Density of states at the Fermi level: 0.00 states/eV per atom
Total energy: -79.1 eV per cell
Crystal system: monoclinic
Space group: No. 12